VASP calculation (GGA-PBE) on Nd2Br2O after structural relaxation.

Uncorrected formation energy (eV per atom): -1.074
D(E_F) (states/eV per cell): 2.9
E (eV/f.u.): -23.21
Space group: No. 123
M_tot (Bohr magnetons per cell): 0.00

Lattice parameters (Å, degrees): 4.3039 4.3039 14.0307 90.00 90.00 90.00
With the nearest neighbours (Å) after each atom.
Atoms (fractional coordinates):
Nd 0.0000 0.0000 0.1532  1 O 2.15
Nd 0.0000 0.0000 0.8468  1 O 2.15
Br 0.0000 0.0000 0.3467  1 Nd 2.72
Br 0.0000 0.0000 0.6533  1 Nd 2.72
O 0.0000 0.0000 0.0000  2 Nd 2.15


VASP calculation (GGA-PBE) on KZnCd2Ag after structural relaxation.

D(E_F) (states/eV per cell): 2.0
E (eV/f.u.): -6.66
Energy of formation from the pure elements (meV per atom): 78
Space group: No. 123
M_tot (Bohr magnetons per cell): 0.00

Lattice parameters (Å, degrees): 5.1859 5.1859 5.1924 90.00 90.00 90.00
With the nearest neighbours (Å) after each atom.
Atoms (fractional coordinates):
K 0.0000 0.0000 0.0000  4 Ag 3.67, 8 Cd 3.67
Zn 0.5000 0.5000 0.5000  4 Cd 2.59, 2 Ag 2.60
Cd 0.0000 0.5000 0.5000  2 Zn 2.59
Cd 0.5000 0.0000 0.5000  2 Zn 2.59
Ag 0.5000 0.5000 0.0000  2 Zn 2.60